# 1
Material: CrMoNF2
Method: DFT, SCAN
State: PBEsol geometry

Unit cell a=4.086 b=4.086 c=3.886 alpha=90.00 beta=90.00 gamma=90.00
Space group P4/mmm (No. 123)
Asymmetric unit:
Cr 0.000 0.000 0.000 (multiplicity 1)
Mo 0.500 0.500 0.500 (multiplicity 1)
N 0.500 0.500 0.000 (multiplicity 1)
F 0.000 0.500 0.500 (multiplicity 2)

E	-14.819	eV/atom
relative energy among the computed polymorphs	0.00	eV per formula unit
uncorrected formation energy	-0.8912	eV per atom

=====

# 2
Material: Mg2NF
Method: DFT, SCAN
State: PBEsol geometry

Unit cell a=4.190 b=4.190 c=10.011 alpha=90.00 beta=90.00 gamma=90.00
Space group I4_1/amd (No. 141, origin choice 2)
Asymmetric unit:
Mg 0.000 0.250 0.089 (multiplicity 8)
N 0.000 0.250 0.875 (multiplicity 4)
F 0.000 0.250 0.375 (multiplicity 4)

E	-7.734	eV/atom
uncorrected formation energy	-2.0391	eV per atom

=====

# 3
Material: CdBPt3
Method: DFT, SCAN
State: PBEsol geometry

Unit cell a=5.7366 b=5.7366 c=7.7917 alpha=90.00 beta=90.00 gamma=120.00
Space group R-3m (No. 166, hexagonal axes)
Asymmetric unit:
Cd 0.0000 0.0000 0.0000 (multiplicity 3)
B 0.0000 0.0000 0.5000 (multiplicity 3)
Pt 0.0000 0.5000 0.0000 (multiplicity 9)

E	-49.960	eV/atom
relative energy among the computed polymorphs	0.66	eV per formula unit
formation energy	-1.38	eV per formula unit

=====

# 4
Material: KC2
Method: DFT, SCAN
State: PBEsol geometry

Unit cell a=4.161 b=4.161 c=5.789 alpha=90.00 beta=90.00 gamma=90.00
Space group P4/mmm (No. 123)
Asymmetric unit:
K 0.000 0.000 0.000 (multiplicity 1)
C 0.000 0.000 0.500 (multiplicity 1)
C 0.500 0.500 0.000 (multiplicity 1)

E	-5.628	eV/atom
relative energy among the computed polymorphs	10.35	eV per formula unit
formation energy	11.65	eV per formula unit

=====

# 5
Material: Ba2LiMn
Method: DFT, SCAN
State: PBEsol geometry

Unit cell a=12.649 b=3.895 c=5.844 alpha=90.00 beta=109.97 gamma=90.00
Space group Cm (No. 8)
Asymmetric unit:
Ba 0.000 0.000 0.000 (multiplicity 2)
Ba 0.203 0.000 0.650 (multiplicity 2)
Li 0.418 0.000 0.411 (multiplicity 2)
Mn 0.247 0.500 0.183 (multiplicity 2)

E	-24.722	eV/atom
formation energy	0.86	eV per formula unit

=====

# 6
Material: TaTi3P
Method: DFT, SCAN
State: PBEsol geometry

Unit cell a=4.460 b=4.460 c=4.460 alpha=90.00 beta=90.00 gamma=90.00
Space group Pm-3m (No. 221)
Asymmetric unit:
Ta 0.000 0.000 0.000 (multiplicity 1)
Ti 0.000 0.500 0.500 (multiplicity 3)
P 0.500 0.500 0.500 (multiplicity 1)

E	-25.088	eV/atom
formation energy	-0.37	eV per formula unit